# Pm4Dy3Zn (PBE, relaxed)
# DFT formation energy: -0.065 eV per atom
# Final energy: -4.325 eV per atom
data_Pm4Dy3Zn
_chemical_formula_sum 'Pm4 Dy3 Zn1'
_space_group_name_H-M_alt 'P 4/m m m'
_space_group_IT_number 123
_space_group_name_Hall '-P 4 2'
_cell_length_a 3.626
_cell_length_b 3.626
_cell_length_c 18.800
_cell_angle_alpha 90.00
_cell_angle_beta 90.00
_cell_angle_gamma 90.00
loop_
_atom_site_label
_atom_site_fract_x
_atom_site_fract_y
_atom_site_fract_z
Pm1 0.000 0.000 0.097
Pm2 0.000 0.000 0.366
Dy1 0.500 0.500 0.234
Dy2 0.500 0.500 0.500
Zn1 0.500 0.500 0.000